Record 1
The following is a DFT calculation (PBE) of a geometry-optimized DyScAl4Pd2 structure.

Cell: 6.854 4.262 9.974 Å, 90.00 90.00 90.00°
Space group Amm2 (No. 38)
Unique sites:
1 Dy 0.000 0.000 0.000 (multiplicity 2)
2 Sc 0.500 0.000 0.854 (multiplicity 2)
3 Al 0.204 0.000 0.290 (multiplicity 4)
4 Al 0.306 0.000 0.567 (multiplicity 4)
5 Pd 0.000 0.000 0.717 (multiplicity 2)
6 Pd 0.500 0.000 0.134 (multiplicity 2)

## Properties
DFT total energy = -5.313 eV/atom
mass density = 6.0 g/cm3
volume = 18.2 A^3/atom
total magnetic moment = 0.03 μB/f.u.

---

Record 2
The following is a DFT calculation (PBE) of a geometry-optimized P2H24PdC12Br2N6 structure.

Cell: 7.215 11.850 12.020 Å, 90.00 122.05 90.00°
Space group P2_1/c (No. 14)
Unique sites:
1 P 0.088 0.175 0.453 (multiplicity 4)
2 H 0.026 0.044 0.731 (multiplicity 4)
3 H 0.055 0.675 0.474 (multiplicity 4)
4 H 0.102 0.658 0.285 (multiplicity 4)
5 H 0.177 0.113 0.293 (multiplicity 4)
6 H 0.186 0.644 0.810 (multiplicity 4)
7 H 0.245 0.711 0.641 (multiplicity 4)
8 H 0.256 0.059 0.083 (multiplicity 4)
9 H 0.279 0.506 0.456 (multiplicity 4)
10 H 0.397 0.103 0.836 (multiplicity 4)
11 H 0.399 0.248 0.155 (multiplicity 4)
12 H 0.464 0.249 0.877 (multiplicity 4)
13 H 0.484 0.172 0.564 (multiplicity 4)
14 Pd 0.000 0.000 0.500 (multiplicity 2)
15 C 0.016 0.622 0.737 (multiplicity 4)
16 C 0.068 0.179 0.292 (multiplicity 4)
17 C 0.072 0.694 0.568 (multiplicity 4)
18 C 0.237 0.073 0.987 (multiplicity 4)
19 C 0.356 0.181 0.869 (multiplicity 4)
20 C 0.367 0.235 0.556 (multiplicity 4)
21 Br 0.391 0.546 0.145 (multiplicity 4)
22 N 0.007 0.100 0.890 (multiplicity 4)
23 N 0.129 0.211 0.767 (multiplicity 4)
24 N 0.391 0.160 0.999 (multiplicity 4)

## Properties
DFT total energy = -5.648 eV/atom
mass density = 2.2 g/cm3
volume = 9.3 A^3/atom

---

Record 3
The following is a DFT calculation (PBE) of a geometry-optimized Tm6MoAs2 structure.

Cell: 7.7494 7.7494 4.2567 Å, 90.00 90.00 120.00°
Space group P-62m (No. 189)
Unique sites:
1 Tm 0.0000 0.4032 0.0000 (multiplicity 3)
2 Tm 0.0000 0.7522 0.5000 (multiplicity 3)
3 Mo 0.0000 0.0000 0.0000 (multiplicity 1)
4 As 0.3333 0.6667 0.5000 (multiplicity 2)

## Properties
DFT total energy = -5.842 eV/atom
mass density = 9.4 g/cm3
volume = 24.6 A^3/atom
total magnetic moment = 0.00 μB/f.u.

---

Record 4
The following is a DFT calculation (PBE) of a geometry-optimized PuGeTeSe3 structure.

Cell: 3.960 16.512 10.859 Å, 90.00 90.00 90.00°
Space group Cmc2_1 (No. 36)
Unique sites:
1 Pu 0.000 0.159 0.000 (multiplicity 4)
2 Ge 0.000 0.277 0.774 (multiplicity 4)
3 Te 0.000 0.402 0.290 (multiplicity 4)
4 Se 0.000 0.122 0.257 (multiplicity 4)
5 Se 0.000 0.222 0.559 (multiplicity 4)
6 Se 0.000 0.468 0.503 (multiplicity 4)

## Properties
DFT total energy = -6.079 eV/atom
mass density = 6.4 g/cm3
volume = 29.6 A^3/atom
total magnetic moment = 4.10 μB/f.u.